# CsKRb2Tl, relaxed, DFT PBE-GGA
data_CsKRb2Tl
_cell_length_a 7.352
_cell_length_b 7.352
_cell_length_c 7.128
_cell_angle_alpha 90.00
_cell_angle_beta 90.00
_cell_angle_gamma 90.00
_symmetry_space_group_name_H-M 'P 1'
_symmetry_Int_Tables_number 1
loop_
_symmetry_equiv_pos_as_xyz
'x,y,z'
loop_
_atom_site_label
_atom_site_type_symbol
_atom_site_fract_x
_atom_site_fract_y
_atom_site_fract_z
Cs1 Cs 0.000 0.000 0.000
K1 K 0.500 0.500 0.000
Rb1 Rb 0.000 0.500 0.500
Rb2 Rb 0.500 0.000 0.500
Tl1 Tl 0.500 0.500 0.500
# Total magnetization = 0.000 μB/f.u.
# E_form = 0.022 eV per atom
# Energy above the lowest structure with this stoichiometry = 0.0 meV/atom


# CsKRb2Tl, relaxed, DFT PBE-GGA
data_CsKRb2Tl
_cell_length_a 7.374
_cell_length_b 7.374
_cell_length_c 7.441
_cell_angle_alpha 90.00
_cell_angle_beta 90.00
_cell_angle_gamma 90.00
_symmetry_space_group_name_H-M 'P 1'
_symmetry_Int_Tables_number 1
loop_
_symmetry_equiv_pos_as_xyz
'x,y,z'
loop_
_atom_site_label
_atom_site_type_symbol
_atom_site_fract_x
_atom_site_fract_y
_atom_site_fract_z
Cs1 Cs 0.000 0.000 0.000
K1 K 0.500 0.500 0.000
Rb1 Rb 0.000 0.500 0.500
Rb2 Rb 0.500 0.000 0.500
Tl1 Tl 0.000 0.000 0.500
# Total magnetization = 0.000 μB/f.u.
# E_form = 0.067 eV per atom
# Energy above the lowest structure with this stoichiometry = 44.4 meV/atom


# CsKRbTl, relaxed, DFT PBE-GGA
data_CsKRbTl
_cell_length_a 9.675
_cell_length_b 9.675
_cell_length_c 9.675
_cell_angle_alpha 90.00
_cell_angle_beta 90.00
_cell_angle_gamma 90.00
_symmetry_space_group_name_H-M 'P 1'
_symmetry_Int_Tables_number 1
loop_
_symmetry_equiv_pos_as_xyz
'x,y,z'
loop_
_atom_site_label
_atom_site_type_symbol
_atom_site_fract_x
_atom_site_fract_y
_atom_site_fract_z
Cs1 Cs 0.000 0.000 0.000
Cs2 Cs 0.000 0.500 0.500
Cs3 Cs 0.500 0.000 0.500
Cs4 Cs 0.500 0.500 0.000
K1 K 0.250 0.250 0.750
K2 K 0.250 0.750 0.250
K3 K 0.750 0.250 0.250
K4 K 0.750 0.750 0.750
Rb1 Rb 0.250 0.250 0.250
Rb2 Rb 0.250 0.750 0.750
Rb3 Rb 0.750 0.250 0.750
Rb4 Rb 0.750 0.750 0.250
Tl1 Tl 0.000 0.000 0.500
Tl2 Tl 0.000 0.500 0.000
Tl3 Tl 0.500 0.000 0.000
Tl4 Tl 0.500 0.500 0.500
# Total magnetization = 1.453 μB/f.u.
# E_form = 0.052 eV per atom


# Cs2KRbTl, relaxed, DFT PBE-GGA
data_Cs2KRbTl
_cell_length_a 7.559
_cell_length_b 7.559
_cell_length_c 7.415
_cell_angle_alpha 90.00
_cell_angle_beta 90.00
_cell_angle_gamma 90.00
_symmetry_space_group_name_H-M 'P 1'
_symmetry_Int_Tables_number 1
loop_
_symmetry_equiv_pos_as_xyz
'x,y,z'
loop_
_atom_site_label
_atom_site_type_symbol
_atom_site_fract_x
_atom_site_fract_y
_atom_site_fract_z
Cs1 Cs 0.000 0.500 0.000
Cs2 Cs 0.500 0.000 0.000
K1 K 0.000 0.000 0.500
Rb1 Rb 0.500 0.500 0.500
Tl1 Tl 0.500 0.500 0.000
# Total magnetization = 0.000 μB/f.u.
# E_form = 0.066 eV per atom
# Energy above the lowest structure with this stoichiometry = 17.9 meV/atom


# CsK2RbTl, relaxed, DFT PBE-GGA
data_CsK2RbTl
_cell_length_a 7.098
_cell_length_b 7.098
_cell_length_c 7.302
_cell_angle_alpha 90.00
_cell_angle_beta 90.00
_cell_angle_gamma 90.00
_symmetry_space_group_name_H-M 'P 1'
_symmetry_Int_Tables_number 1
loop_
_symmetry_equiv_pos_as_xyz
'x,y,z'
loop_
_atom_site_label
_atom_site_type_symbol
_atom_site_fract_x
_atom_site_fract_y
_atom_site_fract_z
Cs1 Cs 0.000 0.000 0.000
K1 K 0.000 0.500 0.500
K2 K 0.500 0.000 0.500
Rb1 Rb 0.500 0.500 0.000
Tl1 Tl 0.500 0.500 0.500
# Total magnetization = 0.000 μB/f.u.
# E_form = 0.016 eV per atom
# Energy above the lowest structure with this stoichiometry = 0.0 meV/atom


# Cs2KRbV, relaxed, DFT PBE-GGA
data_Cs2KRbV
_cell_length_a 6.732
_cell_length_b 6.732
_cell_length_c 6.977
_cell_angle_alpha 90.00
_cell_angle_beta 90.00
_cell_angle_gamma 90.00
_symmetry_space_group_name_H-M 'P 1'
_symmetry_Int_Tables_number 1
loop_
_symmetry_equiv_pos_as_xyz
'x,y,z'
loop_
_atom_site_label
_atom_site_type_symbol
_atom_site_fract_x
_atom_site_fract_y
_atom_site_fract_z
Cs1 Cs 0.000 0.500 0.000
Cs2 Cs 0.500 0.000 0.000
K1 K 0.000 0.000 0.500
Rb1 Rb 0.500 0.500 0.500
V1 V 0.000 0.000 0.000
# Total magnetization = 4.969 μB/f.u.
# E_form = 0.787 eV per atom